# 1
## DyPuAgHg (PBE)

Data for a relaxed DyPuAgHg crystal.

## Properties
Energy of formation in eV/atom: -0.16
DFT total energy in eV per atom: -5.68
Total magnetic moment in μB/cell: 23.875
Density of states at the Fermi level in states/eV/cell: 42.9

Cell lengths 7.415, 7.415, 7.415 Å; angles 90.00, 90.00, 90.00 degrees
Space group F-43m (No. 216)
One atom of each set of equivalent atoms:
Dy  0.000  0.000  0.000 (multiplicity 4)
Pu  0.000  0.000  0.500 (multiplicity 4)
Ag  0.250  0.250  0.250 (multiplicity 4)
Hg  0.250  0.250  0.750 (multiplicity 4)


# 2
## Dy4AgHg2Rh (PBE)

Data for a relaxed Dy4AgHg2Rh crystal.

## Properties
Energy of formation in eV/atom: -0.53
DFT total energy in eV per atom: -4.18
Total magnetic moment in μB/cell: 0.000
Density of states at the Fermi level in states/eV/cell: 13.4

Cell lengths 5.1398, 5.1398, 24.9917 Å; angles 90.00, 90.00, 120.00 degrees
Space group R-3m (No. 166, hexagonal axes)
One atom of each set of equivalent atoms:
Dy  0.0000  0.0000  0.1176 (multiplicity 6)
Dy  0.0000  0.0000  0.3696 (multiplicity 6)
Ag  0.0000  0.0000  0.5000 (multiplicity 3)
Hg  0.0000  0.0000  0.2430 (multiplicity 6)
Rh  0.0000  0.0000  0.0000 (multiplicity 3)


# 3
## Dy4Ag2HgRh (PBE)

Data for a relaxed Dy4Ag2HgRh crystal.

## Properties
Energy of formation in eV/atom: -0.51
DFT total energy in eV per atom: -4.48
Total magnetic moment in μB/cell: 0.000
Density of states at the Fermi level in states/eV/cell: 13.7

Cell lengths 5.1058, 5.1058, 24.7774 Å; angles 90.00, 90.00, 120.00 degrees
Space group R-3m (No. 166, hexagonal axes)
One atom of each set of equivalent atoms:
Dy  0.0000  0.0000  0.1170 (multiplicity 6)
Dy  0.0000  0.0000  0.3692 (multiplicity 6)
Ag  0.0000  0.0000  0.2444 (multiplicity 6)
Hg  0.0000  0.0000  0.5000 (multiplicity 3)
Rh  0.0000  0.0000  0.0000 (multiplicity 3)


# 4
## Dy4AgHgRu2 (PBE)

Data for a relaxed Dy4AgHgRu2 crystal.

## Properties
Energy of formation in eV/atom: -0.35
DFT total energy in eV per atom: -5.37
Total magnetic moment in μB/cell: 0.000
Density of states at the Fermi level in states/eV/cell: 18.3

Cell lengths 4.9952, 4.9952, 24.4455 Å; angles 90.00, 90.00, 120.00 degrees
Space group R-3m (No. 166, hexagonal axes)
One atom of each set of equivalent atoms:
Dy  0.0000  0.0000  0.1233 (multiplicity 6)
Dy  0.0000  0.0000  0.3734 (multiplicity 6)
Ag  0.0000  0.0000  0.0000 (multiplicity 3)
Hg  0.0000  0.0000  0.5000 (multiplicity 3)
Ru  0.0000  0.0000  0.2504 (multiplicity 6)


# 5
## DySc2AgHg4 (PBE)

Data for a relaxed DySc2AgHg4 crystal.

## Properties
Energy of formation in eV/atom: -0.33
DFT total energy in eV per atom: -2.99
Total magnetic moment in μB/cell: 0.002
Density of states at the Fermi level in states/eV/cell: 19.8

Cell lengths 4.9521, 4.9521, 25.3401 Å; angles 90.00, 90.00, 120.00 degrees
Space group R-3m (No. 166, hexagonal axes)
One atom of each set of equivalent atoms:
Dy  0.0000  0.0000  0.0000 (multiplicity 3)
Sc  0.0000  0.0000  0.2420 (multiplicity 6)
Ag  0.0000  0.0000  0.5000 (multiplicity 3)
Hg  0.0000  0.0000  0.1242 (multiplicity 6)
Hg  0.0000  0.0000  0.3789 (multiplicity 6)


# 6
## Sm2DyAg2Hg2 (PBE)

Data for a relaxed Sm2DyAg2Hg2 crystal.

## Properties
Energy of formation in eV/atom: -0.24
DFT total energy in eV per atom: -3.14
Total magnetic moment in μB/cell: 0.000
Density of states at the Fermi level in states/eV/cell: 16.7

Cell lengths 4.8787, 4.8787, 26.3325 Å; angles 90.00, 90.00, 120.00 degrees
Space group R-3m (No. 166, hexagonal axes)
One atom of each set of equivalent atoms:
Sm  0.0000  0.0000  0.1229 (multiplicity 6)
Dy  0.0000  0.0000  0.0000 (multiplicity 3)
Ag  0.0000  0.0000  0.3935 (multiplicity 6)
Hg  0.0000  0.0000  0.2630 (multiplicity 6)


# 7
## Sm2DyAgHg4 (PBE)

Data for a relaxed Sm2DyAgHg4 crystal.

## Properties
Energy of formation in eV/atom: -0.40
DFT total energy in eV per atom: -2.66
Total magnetic moment in μB/cell: 0.000
Density of states at the Fermi level in states/eV/cell: 21.2

Cell lengths 5.1721, 5.1721, 26.0497 Å; angles 90.00, 90.00, 120.00 degrees
Space group R-3m (No. 166, hexagonal axes)
One atom of each set of equivalent atoms:
Sm  0.0000  0.0000  0.2422 (multiplicity 6)
Dy  0.0000  0.0000  0.0000 (multiplicity 3)
Ag  0.0000  0.0000  0.5000 (multiplicity 3)
Hg  0.0000  0.0000  0.1232 (multiplicity 6)
Hg  0.0000  0.0000  0.3706 (multiplicity 6)


# 8
## DyAgSnHg (PBE)

Data for a relaxed DyAgSnHg crystal.

## Properties
Energy of formation in eV/atom: -0.34
DFT total energy in eV per atom: -3.28
Total magnetic moment in μB/cell: 0.000
Density of states at the Fermi level in states/eV/cell: 2.3

Cell lengths 7.216, 7.216, 7.216 Å; angles 90.00, 90.00, 90.00 degrees
Space group F-43m (No. 216)
One atom of each set of equivalent atoms:
Dy  0.000  0.000  0.000 (multiplicity 4)
Ag  0.000  0.000  0.500 (multiplicity 4)
Sn  0.250  0.250  0.250 (multiplicity 4)
Hg  0.250  0.250  0.750 (multiplicity 4)